Material: UReN4
Method: DFT, GGA-PBE
State: optimized geometry

```
UReN4
1.0
5.804 0.189 0.000
-2.171 5.386 0.000
-1.817 -2.788 4.759
N U Re
8 2 2
Direct
0.215 0.511 0.296
0.261 0.465 0.796
0.771 0.068 0.298
0.771 0.473 0.702
0.669 0.465 0.204
0.223 0.021 0.202
0.215 0.919 0.704
0.818 0.021 0.798
0.760 0.760 0.000
0.510 0.010 0.500
0.269 0.269 0.000
0.019 0.519 0.500
```

Material: VRe3N
Method: DFT, GGA-PBE
State: optimized geometry

## Properties
Energy above the most stable polymorph in this dataset, kJ/mol of formula units: 0

```
VRe3N
1.0
-3.528 -0.849 -1.793
1.682 -3.219 -1.786
-1.051 -2.302 3.159
Re V N
3 1 1
Direct
0.000 0.500 0.000
0.500 0.000 0.000
0.000 0.000 0.500
0.500 0.500 0.500
0.000 0.000 0.000
```

Material: V3ReN
Method: DFT, GGA-PBE
State: optimized geometry

## Properties
Energy above the most stable polymorph in this dataset, kJ/mol of formula units: 1277

```
V3ReN
1.0
-1.736 -2.850 3.217
0.445 -3.570 -2.923
4.275 -0.786 1.611
V N Re
3 1 1
Direct
0.000 0.000 0.500
0.000 0.500 0.000
0.500 0.000 0.000
0.500 0.500 0.500
0.000 0.000 0.000
```

Material: VRe3N
Method: DFT, GGA-PBE
State: optimized geometry

## Properties
Energy above the most stable polymorph in this dataset, kJ/mol of formula units: 1347

```
VRe3N
1.0
4.476 0.000 0.000
0.000 4.476 0.000
0.000 0.000 4.476
V Re N
1 3 1
Direct
0.000 0.000 0.000
0.000 0.000 0.500
0.000 0.500 0.000
0.500 0.000 0.000
0.500 0.500 0.500
```

Material: V3ReN
Method: DFT, GGA-PBE
State: optimized geometry

## Properties
Energy above the most stable polymorph in this dataset, kJ/mol of formula units: 0

```
V3ReN
1.0
3.936 0.000 0.000
0.000 3.936 0.000
0.000 0.000 3.936
V N Re
3 1 1
Direct
0.000 0.000 0.500
0.000 0.500 0.000
0.500 0.000 0.000
0.000 0.000 0.000
0.500 0.500 0.500
```

Material: V2ReWN
Method: DFT, GGA-PBE
State: optimized geometry

```
V2ReWN
1.0
-1.444 -3.449 1.277
3.667 -1.248 0.778
-0.287 1.525 3.796
N W V Re
1 1 2 1
Direct
0.000 0.000 0.000
0.000 0.000 0.500
0.500 0.000 0.000
0.000 0.500 0.000
0.500 0.500 0.500
```

Material: Re2WN
Method: DFT, GGA-PBE
State: optimized geometry

```
Re2WN
1.0
-4.531 2.786 -0.161
-2.784 -4.534 -0.085
-3.816 -0.863 4.510
Re W N
4 2 2
Direct
0.534 0.125 0.250
0.216 0.625 0.250
0.375 0.466 0.750
0.875 0.784 0.750
0.750 0.250 0.500
0.000 0.000 0.000
0.500 0.500 0.000
0.250 0.750 0.500
```

Material: ReW3N
Method: DFT, GGA-PBE
State: optimized geometry

## Properties
Energy above the most stable polymorph in this dataset, kJ/mol of formula units: 0

```
ReW3N
1.0
4.119 0.000 0.000
0.000 4.119 0.000
0.000 0.000 4.119
W N Re
3 1 1
Direct
0.500 0.000 0.000
0.000 0.000 0.500
0.000 0.500 0.000
0.000 0.000 0.000
0.500 0.500 0.500
```

| no. | formation energy without anion corrections (eV/atom) |
| --- | --- |
| 1 | -0.444 |
| 2 | 0.169 |
| 3 | 2.171 |
| 4 | 2.961 |
| 5 | -0.477 |
| 6 | -0.301 |
| 7 | 0.747 |
| 8 | 0.076 |